Entry A
DFT (meta-GGA SCAN) results for IrPtW2 at its PBEsol-relaxed geometry.

```
4
Lattice="2.745 0.000 0.000 0.000 4.450 0.000 0.000 0.000 4.867" Properties=species:S:1:pos:R:3 pbc="T T T"
Ir 0.000 0.000 0.000
Pt 0.000 2.225 3.207
W 1.373 0.000 2.422
W 1.373 2.225 0.780
```

Entry B
DFT (meta-GGA SCAN) results for IrPtW2 at its PBEsol-relaxed geometry.

```
4
Lattice="2.725 0.000 0.000 0.000 2.725 0.000 0.000 0.000 8.023" Properties=species:S:1:pos:R:3 pbc="T T T"
Ir 0.000 0.000 0.000
Pt 0.000 0.000 4.011
W 1.362 1.362 1.958
W 1.362 1.362 6.065
```

The winner here is entry A, beating the second structure by 38 meV per atom.

Entry A
DFT (meta-GGA SCAN) results for ReIr at its PBEsol-relaxed geometry.

```
12
Lattice="4.289 0.000 0.000 -2.145 3.715 0.000 0.000 0.000 11.657" Properties=species:S:1:pos:R:3 pbc="T T T"
Re 0.000 0.000 1.935
Re 0.000 0.000 9.721
Re 0.000 2.476 5.836
Re 0.000 2.476 9.707
Re 2.145 1.238 1.950
Re 2.145 1.238 5.821
Ir 0.000 0.000 4.521
Ir 0.000 0.000 7.135
Ir 0.000 2.476 0.636
Ir 0.000 2.476 3.250
Ir 2.145 1.238 8.407
Ir 2.145 1.238 11.021
```

Entry B
DFT (meta-GGA SCAN) results for ReIr at its PBEsol-relaxed geometry.

```
2
Lattice="3.086 0.000 0.000 0.000 3.086 0.000 0.000 0.000 3.086" Properties=species:S:1:pos:R:3 pbc="T T T"
Re 0.000 0.000 0.000
Ir 1.543 1.543 1.543
```

The winner here is entry A, beating the second structure by 343 meV per atom.

Entry A
DFT (meta-GGA SCAN) results for ReIr at its PBEsol-relaxed geometry.

```
4
Lattice="2.742 0.000 0.000 0.000 4.340 0.000 0.000 0.000 4.780" Properties=species:S:1:pos:R:3 pbc="T T T"
Re 0.685 1.085 0.426
Re 2.056 3.255 4.354
Ir 0.685 3.255 2.009
Ir 2.056 1.085 2.771
```

Entry B
DFT (meta-GGA SCAN) results for ReIr at its PBEsol-relaxed geometry.

```
4
Lattice="3.265 0.000 0.000 0.000 3.265 0.000 0.000 0.000 5.498" Properties=species:S:1:pos:R:3 pbc="T T T"
Re 0.816 0.816 0.733
Re 2.449 2.449 4.765
Ir 0.816 0.816 3.394
Ir 2.449 2.449 2.104
```

The winner here is entry A, beating the second structure by 472 meV per atom.

Entry A
DFT (meta-GGA SCAN) results for ReIr at its PBEsol-relaxed geometry.

```
2
Lattice="2.739 0.000 0.000 -1.369 2.372 0.000 0.000 0.000 4.373" Properties=species:S:1:pos:R:3 pbc="T T T"
Re 0.000 0.000 0.000
Ir 1.369 0.791 2.186
```

Entry B
DFT (meta-GGA SCAN) results for ReIr at its PBEsol-relaxed geometry.

```
8
Lattice="3.878 0.000 0.000 0.000 3.878 0.000 0.000 0.000 7.576" Properties=species:S:1:pos:R:3 pbc="T T T"
Re 0.000 0.970 2.841
Re 0.000 2.909 4.735
Re 1.939 0.970 0.947
Re 1.939 2.909 6.629
Ir 0.000 0.970 6.629
Ir 0.000 2.909 0.947
Ir 1.939 0.970 4.735
Ir 1.939 2.909 2.841
```

Entry C
DFT (meta-GGA SCAN) results for ReIr at its PBEsol-relaxed geometry.

```
4
Lattice="4.360 0.000 0.000 0.000 2.718 0.000 0.000 0.000 4.791" Properties=species:S:1:pos:R:3 pbc="T T T"
Re 1.090 0.000 0.786
Re 3.270 0.000 4.005
Ir 1.090 1.359 3.195
Ir 3.270 1.359 1.595
```

Entry D
DFT (meta-GGA SCAN) results for ReIr at its PBEsol-relaxed geometry.

```
12
Lattice="9.939 0.000 0.000 0.000 2.727 0.000 -1.557 0.000 6.288" Properties=species:S:1:pos:R:3 pbc="T T T"
Re 0.000 0.000 0.000
Re -0.369 0.000 3.854
Re 3.409 0.000 1.760
Re 4.970 1.364 0.000
Re 4.601 1.364 3.854
Re 8.379 1.364 1.760
Ir 1.114 1.364 2.092
Ir 0.727 1.364 5.952
Ir 2.332 0.000 4.213
Ir 6.084 0.000 2.092
Ir 5.697 0.000 5.952
Ir 7.302 1.364 4.213
```

The winner here is entry C, beating the second structure by 95 meV per atom.

Entry A
DFT (meta-GGA SCAN) results for ReIr2Rh at its PBEsol-relaxed geometry.

```
8
Lattice="5.408 0.000 0.000 0.000 7.649 0.000 0.000 0.000 2.702" Properties=species:S:1:pos:R:3 pbc="T T T"
Re 0.000 0.000 0.000
Re 2.704 3.824 0.000
Ir 1.352 1.912 1.351
Ir 1.352 5.737 1.351
Ir 4.056 1.912 1.351
Ir 4.056 5.737 1.351
Rh 0.000 3.824 0.000
Rh 2.704 0.000 0.000
```

Entry B
DFT (meta-GGA SCAN) results for ReIr2Rh at its PBEsol-relaxed geometry.

```
8
Lattice="3.818 0.000 0.000 0.000 3.818 0.000 0.000 0.000 7.671" Properties=species:S:1:pos:R:3 pbc="T T T"
Re 0.000 0.000 0.000
Re 1.909 1.909 3.835
Ir 0.000 0.000 3.835
Ir 0.000 1.909 1.918
Ir 1.909 0.000 5.753
Ir 1.909 1.909 0.000
Rh 0.000 1.909 5.753
Rh 1.909 0.000 1.918
```

Entry C
DFT (meta-GGA SCAN) results for ReIr2Rh at its PBEsol-relaxed geometry.

```
12
Lattice="2.707 0.000 0.000 -1.353 2.344 0.000 0.000 0.000 26.538" Properties=species:S:1:pos:R:3 pbc="T T T"
Re 0.000 0.000 0.000
Re 0.000 1.563 17.692
Re 1.353 0.781 8.846
Ir 0.000 0.000 6.657
Ir 0.000 0.000 19.880
Ir 0.000 1.563 11.034
Ir 0.000 1.563 24.349
Ir 1.353 0.781 2.188
Ir 1.353 0.781 15.503
Rh 0.000 0.000 13.269
Rh 0.000 1.563 4.423
Rh 1.353 0.781 22.115
```

The winner here is entry A, beating the second structure by 21 meV per atom.

Entry A
DFT (meta-GGA SCAN) results for ReIr2Rh at its PBEsol-relaxed geometry.

```
8
Lattice="8.994 0.000 0.000 0.000 2.695 0.000 -0.803 0.000 4.616" Properties=species:S:1:pos:R:3 pbc="T T T"
Re 0.000 0.000 0.000
Re 4.497 1.347 0.000
Ir 2.033 1.347 1.136
Ir 4.073 0.000 2.306
Ir 6.530 0.000 1.136
Ir 8.570 1.347 2.306
Rh 1.651 0.000 3.463
Rh 6.148 1.347 3.463
```

Entry B
DFT (meta-GGA SCAN) results for ReIr2Rh at its PBEsol-relaxed geometry.

```
8
Lattice="3.842 0.000 0.000 0.000 3.842 0.000 0.000 0.000 7.575" Properties=species:S:1:pos:R:3 pbc="T T T"
Re 0.000 0.000 0.000
Re 1.921 1.921 3.787
Ir 0.000 1.921 1.894
Ir 0.000 1.921 5.681
Ir 1.921 0.000 1.894
Ir 1.921 0.000 5.681
Rh 0.000 0.000 3.787
Rh 1.921 1.921 0.000
```

Entry C
DFT (meta-GGA SCAN) results for ReIr2Rh at its PBEsol-relaxed geometry.

```
4
Lattice="2.696 0.000 0.000 0.000 2.696 0.000 0.000 0.000 7.716" Properties=species:S:1:pos:R:3 pbc="T T T"
Re 0.000 0.000 0.000
Ir 0.000 0.000 3.851
Ir 1.348 1.348 5.798
Rh 1.348 1.348 1.901
```

Entry D
DFT (meta-GGA SCAN) results for ReIr2Rh at its PBEsol-relaxed geometry.

```
12
Lattice="2.701 0.000 0.000 -1.351 2.339 0.000 0.000 0.000 26.624" Properties=species:S:1:pos:R:3 pbc="T T T"
Re 0.000 0.000 0.000
Re 0.000 1.560 17.749
Re 1.351 0.780 8.875
Ir 0.000 0.000 13.325
Ir 0.000 0.000 19.944
Ir 0.000 1.560 4.450
Ir 0.000 1.560 11.069
Ir 1.351 0.780 2.194
Ir 1.351 0.780 22.200
Rh 0.000 0.000 6.689
Rh 0.000 1.560 24.438
Rh 1.351 0.780 15.563
```

The winner here is entry B, beating the second structure by 21 meV per atom.